# 1
Below is a relaxed ZnPIr4 crystal, with properties calculated at the PBE-GGA level.

Cell and atoms, written as CIF:
```
data_ZnPIr4
_chemical_formula_sum 'Zn4 P4 Ir16'
_cell_length_a 7.3249
_cell_length_b 7.3249
_cell_length_c 7.3249
_cell_angle_alpha 90.00
_cell_angle_beta 90.00
_cell_angle_gamma 90.00
_space_group_name_H-M_alt 'F -4 3 m'
_space_group_IT_number 216
_space_group_name_Hall 'F -4 2 3'
loop_
_atom_site_label
_atom_site_fract_x
_atom_site_fract_y
_atom_site_fract_z
Zn1 0.0000 0.0000 0.0000
P1 0.2500 0.2500 0.7500
Ir1 0.1250 0.1250 0.3750
```

## Properties
Energy of formation (eV per atom): 0.62


# 2
Below is a relaxed NbI crystal, with properties calculated at the PBE-GGA level.

Cell and atoms, written as CIF:
```
data_NbI
_chemical_formula_sum 'Nb8 I8'
_cell_length_a 5.2863
_cell_length_b 8.5847
_cell_length_c 10.9132
_cell_angle_alpha 90.00
_cell_angle_beta 90.00
_cell_angle_gamma 90.00
_space_group_name_H-M_alt 'P 21 21 21'
_space_group_IT_number 19
loop_
_space_group_symop_operation_xyz
'x,y,z'
'-x+1/2,-y,z+1/2'
'x+1/2,-y+1/2,-z'
'-x,y+1/2,-z+1/2'
loop_
_atom_site_label
_atom_site_fract_x
_atom_site_fract_y
_atom_site_fract_z
Nb1 0.0147 0.1929 0.0519
Nb2 0.0281 0.2858 0.8373
I1 0.1974 0.0849 0.6181
I2 0.2260 0.4834 0.1429
```

## Properties
Energy relative to the elements, uncorrected (eV/atom): 0.2110


# 3
Below is a relaxed Na3U3TiN8 crystal, with properties calculated at the PBE-GGA level.

Cell and atoms, written as CIF:
```
data_Na3U3TiN8
_chemical_formula_sum 'Na9 U9 Ti3 N24'
_cell_length_a 6.7727
_cell_length_b 6.7727
_cell_length_c 17.0661
_cell_angle_alpha 90.00
_cell_angle_beta 90.00
_cell_angle_gamma 120.00
_space_group_name_H-M_alt 'R -3 m'
_space_group_IT_number 166
_space_group_name_Hall '-R 3 2"'
loop_
_atom_site_label
_atom_site_fract_x
_atom_site_fract_y
_atom_site_fract_z
Na1 0.0000 0.5000 0.0000
U1 0.0000 0.5000 0.5000
Ti1 0.0000 0.0000 0.5000
N1 0.0000 0.0000 0.2300
N2 0.0057 0.5029 0.2239
```

## Properties
Energy relative to the elements, uncorrected (eV/atom): -1.0148


# 4
Below is a relaxed TbAgPd6 crystal, with properties calculated at the PBE-GGA level.

Cell and atoms, written as CIF:
```
data_TbAgPd6
_chemical_formula_sum 'Tb1 Ag1 Pd6'
_cell_length_a 5.7370
_cell_length_b 5.7370
_cell_length_c 4.0919
_cell_angle_alpha 90.00
_cell_angle_beta 90.00
_cell_angle_gamma 90.00
_space_group_name_H-M_alt 'P 4/m m m'
_space_group_IT_number 123
_space_group_name_Hall '-P 4 2'
loop_
_atom_site_label
_atom_site_fract_x
_atom_site_fract_y
_atom_site_fract_z
Tb1 0.0000 0.0000 0.0000
Ag1 0.5000 0.5000 0.0000
Pd1 0.0000 0.5000 0.0000
Pd2 0.2547 0.2547 0.5000
```

## Properties
Energy of formation (eV per atom): -0.42